Here is a relaxed structure of RbGaTe3 from Alexandria via LeMat-Bulk. Energies are from PBE. Values from VASP.

Geometry as Quantum ESPRESSO input:
```
&SYSTEM
  ibrav = 0, nat = 20, ntyp = 3
/
ATOMIC_SPECIES
Rb 85.47 Rb.upf
Ga 69.72 Ga.upf
Te 127.60 Te.upf
ATOMIC_POSITIONS angstrom
Rb 5.327 2.797 0.748
Rb 4.724 6.672 7.402
Rb 1.501 2.284 5.906
Rb 0.899 6.159 12.560
Ga 2.339 3.133 10.331
Ga 0.061 5.310 3.677
Ga 3.887 5.823 2.977
Ga 6.164 3.646 9.631
Te 4.196 4.905 10.939
Te 2.901 7.920 4.286
Te 7.150 1.549 10.940
Te 2.029 4.051 2.368
Te 5.010 6.891 0.799
Te 3.324 1.036 9.022
Te 1.185 6.378 5.855
Te 5.041 2.578 7.452
Te 1.215 2.065 12.509
Te 0.370 4.392 9.022
Te -0.924 7.407 2.368
Te 5.855 4.564 4.285
CELL_PARAMETERS angstrom
7.651 1.026 0.000
-1.426 7.930 0.000
0.000 0.000 13.308
```

Computed properties:
**V**: 41.3 Å³ per atom
**Energy relative to the lowest polymorph listed for this composition**: 0 meV per atom
**Total moment**: 0.00 μB per formula unit